! Cs2NaAcF6, optimized geometry, DFT PBE; values from VASP
! Raw total energy = -5.12 eV per atom
! Magnetic moment = 0.000 μB per formula unit
! Space group = Fm-3m
&SYSTEM
  ibrav = 0, nat = 10, ntyp = 4
/
ATOMIC_SPECIES
Cs 132.91 Cs.upf
F 19.00 F.upf
Ac 227.00 Ac.upf
Na 22.99 Na.upf
ATOMIC_POSITIONS angstrom
Cs -1.266 -1.192 7.719
Cs 3.253 -2.412 6.798
F 4.109 -1.724 9.988
F 0.922 -0.540 5.235
F 0.077 -1.238 2.017
F 1.065 -3.065 9.282
F -2.122 -1.880 4.529
F 1.910 -2.366 12.500
Ac 0.155 -2.495 4.065
Na 0.000 0.000 0.000
CELL_PARAMETERS angstrom
-4.364 -1.274 4.986
4.675 -3.715 3.143
1.676 1.385 6.388